# PBE-GGA Tb4HfP5, optimized geometry
# Total magnetic moment ... 0.00 μB per formula unit
# Final energy ... -7.092 eV per atom
# V ... 21.839 A^3/atom
# Crystal system ... tetragonal
data_Tb4HfP5
_chemical_formula_sum 'Tb8 Hf2 P10'
_cell_length_a 8.831
_cell_length_b 8.831
_cell_length_c 5.601
_cell_angle_alpha 90.00
_cell_angle_beta 90.00
_cell_angle_gamma 90.00
_symmetry_space_group_name_H-M 'I 4/m'
_symmetry_Int_Tables_number 87
_symmetry_space_group_name_Hall '-I 4'
loop_
_atom_site_label
_atom_site_fract_x
_atom_site_fract_y
_atom_site_fract_z
Tb1 0.097 0.300 0.000
Hf1 0.000 0.000 0.500
P1 0.000 0.000 0.000
P2 0.096 0.288 0.500